(1)
The following is a DFT calculation (PBE) of an optimized crystal structure of BeGe.

abc: 7.725 2.918 5.799
angles: 90.00 112.35 90.00
Space group C2/m (No. 12)
Symmetry-distinct sites (fractional):
Be: 0.133 0.000 0.156 (multiplicity 4)
Ge: 0.119 0.000 0.725 (multiplicity 4)

Values from the calculation:
Crystal system: monoclinic
Energy of formation in kJ/mol of atoms: 27.3


(2)
The following is a DFT calculation (PBE) of an optimized crystal structure of Be3GeH.

abc: 4.205 4.205 4.205
angles: 90.00 90.00 90.00
Space group Pm-3m (No. 221)
Symmetry-distinct sites (fractional):
Be: 0.000 0.000 0.500 (multiplicity 3)
Ge: 0.000 0.000 0.000 (multiplicity 1)
H: 0.500 0.500 0.500 (multiplicity 1)

Values from the calculation:
Crystal system: cubic


Number 1: excess energy over the best structure of this formula in the dataset 0.15 eV per formula unit, E -31.1 eV/cell. Number 2: excess energy over the best structure of this formula in the dataset 3.70 eV per formula unit, E -13.2 eV/cell.